[1]
The following is a DFT calculation (PBE-GGA) of a geometry-optimized RbSnBiH2 structure.

VASP energy: -2.309 eV/atom
Symmetry: No. 123

Unit cell a=4.5534 b=4.5534 c=8.0738 alpha=90.00 beta=90.00 gamma=90.00
Closest atoms and distances in Å follow each position.
Fractional coordinates of all 5 atoms:
Rb 0.0000 0.0000 0.0000  4 H 2.28
Sn 0.0000 0.0000 0.5000  4 Bi 3.22
Bi 0.5000 0.5000 0.5000  4 Sn 3.22
H 0.0000 0.5000 0.0000  2 Rb 2.28
H 0.5000 0.0000 0.0000  2 Rb 2.28



[2]
The following is a DFT calculation (PBE-GGA) of a geometry-optimized TcHgRh2 structure.

Symmetry: No. 99
ΔE_f: 91.7 kJ/mol of formula units

Unit cell a=2.8029 b=2.8029 c=8.0431 alpha=90.00 beta=90.00 gamma=90.00
Closest atoms and distances in Å follow each position.
Fractional coordinates of all 4 atoms:
Tc 0.0000 0.0000 0.0000  4 Rh 2.65, 4 Tc 2.80
Hg 0.5000 0.5000 0.2777  4 Hg 2.80, 4 Rh 2.90, 4 Tc 2.99
Rh 0.0000 0.0000 0.5416  8 Rh 2.77-2.80, 4 Hg 2.90
Rh 0.5000 0.5000 0.7814  4 Tc 2.65, 8 Rh 2.77-2.80



[3]
The following is a DFT calculation (PBE-GGA) of a geometry-optimized Sr3Ag2Pb4 structure.

Symmetry: No. 12
ΔE_f: -312.9 kJ/mol of formula units

Unit cell a=6.5687 b=6.5687 c=9.9143 alpha=110.47 beta=110.47 gamma=45.64
Closest atoms and distances in Å follow each position.
Fractional coordinates of all 9 atoms:
Sr 0.0000 0.0000 0.0000  8 Pb 3.47-3.83, 4 Ag 3.57
Sr 0.3301 0.3301 0.3539  7 Pb 3.46-3.62, 4 Ag 3.49-3.71
Sr 0.6699 0.6699 0.6461  7 Pb 3.46-3.62, 4 Ag 3.49-3.71
Ag 0.3956 0.3956 0.7282  3 Pb 2.91-2.93
Ag 0.6044 0.6044 0.2718  3 Pb 2.91-2.93
Pb 0.0459 0.0459 0.3705  2 Ag 2.91, 1 Pb 3.16
Pb 0.2457 0.2457 0.9011  1 Ag 2.93, 2 Pb 3.19
Pb 0.7543 0.7543 0.0989  1 Ag 2.93, 2 Pb 3.19
Pb 0.9541 0.9541 0.6295  2 Ag 2.91, 1 Pb 3.16



Calculated values (states/eV/f.u.) of D(E_F) for the records, taken in order: 3.55, 5.42, 5.35.